No. 1
Entry from Alexandria: crystalline ScAl2Os at its relaxed geometry (PBEsol). Values from VASP.

```
&SYSTEM
  ibrav = 0, nat = 4, ntyp = 3
/
ATOMIC_SPECIES
Sc 44.96 Sc.upf
Al 26.98 Al.upf
Os 190.23 Os.upf
CELL_PARAMETERS angstrom
2.9160 0.0000 0.0000
0.0000 4.2699 0.0000
-1.2821 0.0000 5.1467
ATOMIC_POSITIONS crystal
Sc 0.0000 0.0000 0.0000
Al 0.3369 0.5000 0.7269
Al 0.6631 0.5000 0.2731
Os 0.5000 0.0000 0.5000
```

Values from the calculation:
As for the volume: 64 Å³/cell. The value obtained for the formation enthalpy at 0 K is -316 meV/atom. The calculation puts the total DFT energy (no corrections) at -7.07 eV/atom. The space group is P2/m, No. 10. For the total moment, the calculation gives 0.00 μB per cell. For the density of states at the Fermi level, the calculation gives 0.8590 states/eV/atom.

***

No. 2
Entry from Alexandria: crystalline KSc2Sb at its relaxed geometry (PBEsol). Values from VASP.

```
&SYSTEM
  ibrav = 0, nat = 4, ntyp = 3
/
ATOMIC_SPECIES
K 39.10 K.upf
Sc 44.96 Sc.upf
Sb 121.76 Sb.upf
CELL_PARAMETERS angstrom
4.7402 0.0000 0.0000
0.0000 4.7402 0.0000
0.0000 0.0000 4.4655
ATOMIC_POSITIONS crystal
K 0.0000 0.0000 0.0000
Sc 0.0000 0.5000 0.5000
Sc 0.5000 0.0000 0.5000
Sb 0.5000 0.5000 0.0000
```

Values from the calculation:
The uncorrected formation energy is -0.005 eV/atom. As for the volume: 100 Å³/cell. The calculation puts the total DFT energy (no corrections) at -4.73 eV/atom. The space group is P4/mmm, No. 123. For the total moment, the calculation gives 0.73 μB per cell. For the density of states at the Fermi level, the calculation gives 1.1001 states/eV/atom.

***

No. 3
Entry from Alexandria: crystalline NaZrRu3 at its relaxed geometry (PBEsol). Values from VASP.

```
&SYSTEM
  ibrav = 0, nat = 5, ntyp = 3
/
ATOMIC_SPECIES
Na 22.99 Na.upf
Zr 91.22 Zr.upf
Ru 101.07 Ru.upf
CELL_PARAMETERS angstrom
4.3713 0.0000 0.0000
0.0000 4.3713 0.0000
0.0000 0.0000 4.3713
ATOMIC_POSITIONS crystal
Na 0.0000 0.0000 0.0000
Zr 0.5000 0.5000 0.5000
Ru 0.0000 0.0000 0.5000
Ru 0.0000 0.5000 0.0000
Ru 0.5000 0.0000 0.0000
```

Values from the calculation:
As for the volume: 84 Å³/cell. The value obtained for the formation enthalpy at 0 K is 1812 meV/atom. The calculation puts the total DFT energy (no corrections) at -6.39 eV/atom. The space group is Pm-3m, No. 221. For the total moment, the calculation gives 0.00 μB per cell. For the density of states at the Fermi level, the calculation gives 1.3373 states/eV/atom.

***

No. 4
Entry from Alexandria: crystalline Si2BrCl at its relaxed geometry (PBEsol). Values from VASP.

```
&SYSTEM
  ibrav = 0, nat = 4, ntyp = 3
/
ATOMIC_SPECIES
Si 28.09 Si.upf
Br 79.90 Br.upf
Cl 35.45 Cl.upf
CELL_PARAMETERS angstrom
3.2534 0.0000 0.0000
0.0000 4.3625 0.0000
0.0000 0.0000 5.5238
ATOMIC_POSITIONS crystal
Si 0.0000 0.0000 0.0000
Si 0.5000 0.0000 0.5000
Br 0.0000 0.5000 0.5000
Cl 0.5000 0.5000 0.0000
```

Values from the calculation:
The uncorrected formation energy is 0.286 eV/atom. As for the volume: 78 Å³/cell. The calculation puts the total DFT energy (no corrections) at -3.56 eV/atom. The space group is Pmmm, No. 47. For the total moment, the calculation gives 0.00 μB per cell. For the density of states at the Fermi level, the calculation gives 0.3235 states/eV/atom.

***

No. 5
Entry from Alexandria: crystalline Cd2WBr at its relaxed geometry (PBEsol). Values from VASP.

```
&SYSTEM
  ibrav = 0, nat = 4, ntyp = 3
/
ATOMIC_SPECIES
Cd 112.41 Cd.upf
W 183.84 W.upf
Br 79.90 Br.upf
CELL_PARAMETERS angstrom
0.0000 3.3906 3.3906
3.3906 0.0000 3.3906
3.3906 3.3906 0.0000
ATOMIC_POSITIONS crystal
Cd 0.0000 0.0000 0.0000
Cd 0.2500 0.2500 0.2500
W 0.5000 0.5000 0.5000
Br 0.7500 0.7500 0.7500
```

Values from the calculation:
The uncorrected formation energy is 1.109 eV/atom. As for the volume: 78 Å³/cell. The calculation puts the total DFT energy (no corrections) at -3.41 eV/atom. The space group is F-43m, No. 216. For the total moment, the calculation gives 1.66 μB per cell. For the density of states at the Fermi level, the calculation gives 0.9868 states/eV/atom.

***

No. 6
Entry from Alexandria: crystalline Si3N4 at its relaxed geometry (PBEsol). Values from VASP.

```
&SYSTEM
  ibrav = 0, nat = 28, ntyp = 2
/
ATOMIC_SPECIES
Si 28.09 Si.upf
N 14.01 N.upf
CELL_PARAMETERS angstrom
7.7732 0.0000 0.0000
-3.8866 6.7318 0.0000
0.0000 0.0000 5.6339
ATOMIC_POSITIONS crystal
Si 0.0825 0.5117 0.0000
Si 0.0859 0.8325 0.2927
Si 0.1675 0.2534 0.2927
Si 0.2534 0.1675 0.7927
Si 0.4292 0.9175 0.0000
Si 0.4883 0.5708 0.0000
Si 0.5117 0.0825 0.5000
Si 0.5708 0.4883 0.5000
Si 0.7466 0.9141 0.2927
Si 0.8325 0.0859 0.7927
Si 0.9141 0.7466 0.7927
Si 0.9175 0.4292 0.5000
N 0.0000 0.0000 0.2933
N 0.0000 0.0000 0.7933
N 0.0040 0.6849 0.0390
N 0.0453 0.3895 0.2728
N 0.3151 0.3191 0.0390
N 0.3191 0.3151 0.5390
N 0.3333 0.6667 0.9436
N 0.3442 0.9547 0.2728
N 0.3895 0.0453 0.7728
N 0.6105 0.6558 0.2728
N 0.6558 0.6105 0.7728
N 0.6667 0.3333 0.4436
N 0.6809 0.9960 0.0390
N 0.6849 0.0040 0.5390
N 0.9547 0.3442 0.7728
N 0.9960 0.6809 0.5390
```

Values from the calculation:
The uncorrected formation energy is -1.263 eV/atom. As for the volume: 295 Å³/cell. The calculation puts the total DFT energy (no corrections) at -8.60 eV/atom. The space group is P31c, No. 159. For the total moment, the calculation gives 0.00 μB per cell. For the density of states at the Fermi level, the calculation gives 0.0000 states/eV/atom.

***

No. 7
Entry from Alexandria: crystalline RbAlSn2As at its relaxed geometry (PBEsol). Values from VASP.

```
&SYSTEM
  ibrav = 0, nat = 5, ntyp = 4
/
ATOMIC_SPECIES
Rb 85.47 Rb.upf
Al 26.98 Al.upf
Sn 118.71 Sn.upf
As 74.92 As.upf
CELL_PARAMETERS angstrom
5.8149 0.0000 0.0000
0.0000 5.8149 0.0000
0.0000 0.0000 4.7905
ATOMIC_POSITIONS crystal
Rb 0.0000 0.0000 0.0000
Al 0.5000 0.5000 0.0000
Sn 0.0000 0.5000 0.5000
Sn 0.5000 0.0000 0.5000
As 0.5000 0.5000 0.5000
```

Values from the calculation:
As for the volume: 162 Å³/cell. The value obtained for the formation enthalpy at 0 K is 348 meV/atom. The calculation puts the total DFT energy (no corrections) at -3.40 eV/atom. The space group is P4/mmm, No. 123. For the total moment, the calculation gives 0.00 μB per cell. For the density of states at the Fermi level, the calculation gives 0.8212 states/eV/atom.

***

No. 8
Entry from Alexandria: crystalline RbGa2Bi2 at its relaxed geometry (PBEsol). Values from VASP.

```
&SYSTEM
  ibrav = 0, nat = 5, ntyp = 3
/
ATOMIC_SPECIES
Rb 85.47 Rb.upf
Ga 69.72 Ga.upf
Bi 208.98 Bi.upf
CELL_PARAMETERS angstrom
-2.6253 2.6253 5.2654
2.6253 -2.6253 5.2654
2.6253 2.6253 -5.2654
ATOMIC_POSITIONS crystal
Rb 0.0000 0.0000 0.0000
Ga 0.3796 0.3796 0.0000
Ga 0.6204 0.6204 0.0000
Bi 0.2500 0.7500 0.5000
Bi 0.7500 0.2500 0.5000
```

Values from the calculation:
As for the volume: 145 Å³/cell. The value obtained for the formation enthalpy at 0 K is -144 meV/atom. The calculation puts the total DFT energy (no corrections) at -3.40 eV/atom. The space group is I4/mmm, No. 139. For the total moment, the calculation gives 0.00 μB per cell. For the density of states at the Fermi level, the calculation gives 0.3371 states/eV/atom.

***

No. 9
Entry from Alexandria: crystalline Sr3In at its relaxed geometry (PBEsol). Values from VASP.

```
&SYSTEM
  ibrav = 0, nat = 4, ntyp = 2
/
ATOMIC_SPECIES
Sr 87.62 Sr.upf
In 114.82 In.upf
CELL_PARAMETERS angstrom
-2.9877 2.9877 4.2428
2.9877 -2.9877 4.2428
2.9877 2.9877 -4.2428
ATOMIC_POSITIONS crystal
Sr 0.0000 0.0000 0.0000
Sr 0.2500 0.7500 0.5000
Sr 0.7500 0.2500 0.5000
In 0.5000 0.5000 0.0000
```

Values from the calculation:
As for the volume: 151 Å³/cell. The value obtained for the formation enthalpy at 0 K is -156 meV/atom. The calculation puts the total DFT energy (no corrections) at -2.28 eV/atom. The space group is I4/mmm, No. 139. For the total moment, the calculation gives 0.00 μB per cell. For the density of states at the Fermi level, the calculation gives 0.8125 states/eV/atom.

***

No. 10
Entry from Alexandria: crystalline CaAlAs2 at its relaxed geometry (PBEsol). Values from VASP.

```
&SYSTEM
  ibrav = 0, nat = 4, ntyp = 3
/
ATOMIC_SPECIES
Ca 40.08 Ca.upf
Al 26.98 Al.upf
As 74.92 As.upf
CELL_PARAMETERS angstrom
4.5332 0.0000 0.0000
0.0000 4.5332 0.0000
0.0000 0.0000 3.8293
ATOMIC_POSITIONS crystal
Ca 0.0000 0.0000 0.0000
Al 0.5000 0.5000 0.0000
As 0.0000 0.5000 0.5000
As 0.5000 0.0000 0.5000
```

Values from the calculation:
As for the volume: 79 Å³/cell. The value obtained for the formation enthalpy at 0 K is -439 meV/atom. The calculation puts the total DFT energy (no corrections) at -4.55 eV/atom. The space group is P4/mmm, No. 123. For the total moment, the calculation gives 0.00 μB per cell. For the density of states at the Fermi level, the calculation gives 0.3761 states/eV/atom.

***

No. 11
Entry from Alexandria: crystalline Pr2Co2I at its relaxed geometry (PBEsol). Values from VASP.

```
&SYSTEM
  ibrav = 0, nat = 10, ntyp = 3
/
ATOMIC_SPECIES
Pr 140.91 Pr.upf
Co 58.93 Co.upf
I 126.90 I.upf
CELL_PARAMETERS angstrom
3.9298 0.0000 0.0000
-1.9649 3.4033 0.0000
0.0000 0.0000 17.5405
ATOMIC_POSITIONS crystal
Pr 0.0000 0.0000 0.1073
Pr 0.0000 0.0000 0.3927
Pr 0.0000 0.0000 0.6073
Pr 0.0000 0.0000 0.8927
Co 0.3333 0.6667 0.0003
Co 0.3333 0.6667 0.4997
Co 0.6667 0.3333 0.9997
Co 0.6667 0.3333 0.5003
I 0.3333 0.6667 0.2500
I 0.6667 0.3333 0.7500
```

Values from the calculation:
The uncorrected formation energy is -0.574 eV/atom. As for the volume: 235 Å³/cell. The calculation puts the total DFT energy (no corrections) at -6.10 eV/atom. The space group is P6_3/mmc, No. 194. For the total moment, the calculation gives 0.87 μB per cell. For the density of states at the Fermi level, the calculation gives 1.0136 states/eV/atom.

***

Number 6 is which compound?
Si3N4

***

Among the records above, which one has the highest total moment?
Cd2WBr

***

What did the tenth record say?
Entry from Alexandria: crystalline CaAlAs2 at its relaxed geometry (PBEsol). Values from VASP.

```
&SYSTEM
  ibrav = 0, nat = 4, ntyp = 3
/
ATOMIC_SPECIES
Ca 40.08 Ca.upf
Al 26.98 Al.upf
As 74.92 As.upf
CELL_PARAMETERS angstrom
4.5332 0.0000 0.0000
0.0000 4.5332 0.0000
0.0000 0.0000 3.8293
ATOMIC_POSITIONS crystal
Ca 0.0000 0.0000 0.0000
Al 0.5000 0.5000 0.0000
As 0.0000 0.5000 0.5000
As 0.5000 0.0000 0.5000
```

Values from the calculation:
As for the volume: 79 Å³/cell. The value obtained for the formation enthalpy at 0 K is -439 meV/atom. The calculation puts the total DFT energy (no corrections) at -4.55 eV/atom. The space group is P4/mmm, No. 123. For the total moment, the calculation gives 0.00 μB per cell. For the density of states at the Fermi level, the calculation gives 0.3761 states/eV/atom.